[1]
Rb2P2Pb, optimized geometry, DFT PBE; distance to the lowest polymorph of the same formula = 0.000 eV/atom; formation energy from the elements = -197 meV/atom; raw total energy = -3.49 eV/atom
1.0
7.536 0.000 0.000
0.000 7.536 0.000
0.000 0.000 5.524
Rb P Pb
4 4 2
Cartesian
1.391 2.377 0.000
2.377 6.145 0.000
5.159 1.391 0.000
6.145 5.159 0.000
0.757 4.525 2.762
3.011 0.757 2.762
4.525 6.779 2.762
6.779 3.011 2.762
0.000 0.000 2.762
3.768 3.768 2.762

=====

[2]
CePu3Pa2N6, optimized geometry, DFT PBE; raw total energy = -11.27 eV/atom
1.0
3.045 -5.274 0.000
3.045 5.274 0.000
-2.028 0.000 5.710
Ce Pu Pa N
1 3 2 6
Cartesian
0.000 0.000 0.000
2.031 3.539 2.855
2.031 0.000 2.855
2.031 -3.539 2.855
3.045 1.762 0.000
3.045 -1.762 0.000
1.054 1.822 1.398
0.079 0.000 4.328
1.054 -1.822 1.398
3.008 1.822 4.312
3.983 0.000 1.382
3.008 -1.822 4.312

=====

[3]
CaCeCu2S4, optimized geometry, DFT PBE; raw total energy = -5.22 eV/atom
1.0
-3.267 3.313 3.698
3.267 -3.313 3.698
3.267 3.313 -3.698
Ca Ce Cu S
1 1 2 4
Cartesian
0.000 0.000 0.000
0.000 0.000 3.698
3.267 0.000 2.259
0.000 3.313 1.439
1.601 1.730 -1.586
1.666 -1.583 5.284
1.666 1.583 2.112
1.601 4.897 1.586

=====

[4]
CoNi2Hg, optimized geometry, DFT PBE; formation energy from the elements = 297 meV/atom; raw total energy = -4.45 eV/atom
1.0
4.293 -1.377 0.000
4.293 1.377 0.000
-0.894 0.000 4.590
Co Ni Hg
1 2 1
Cartesian
0.000 0.000 0.000
1.522 0.000 3.696
3.931 0.000 2.651
6.253 0.000 1.386

=====

[5]
MgCr2Tc, optimized geometry, DFT PBE; formation energy from the elements = 497 meV/atom; raw total energy = -7.30 eV/atom
1.0
2.558 -4.250 0.000
2.558 4.250 0.000
0.000 0.000 2.551
Mg Cr Tc
1 2 1
Cartesian
0.000 0.000 0.000
1.279 2.125 1.276
1.279 -2.125 1.276
2.558 0.000 0.000

=====

[6]
MgTl2Cl, optimized geometry, DFT PBE; distance to the lowest polymorph of the same formula = 0.214 eV/atom; raw total energy = -2.36 eV/atom
1.0
3.706 0.000 0.000
0.000 4.856 0.000
-0.093 0.000 6.216
Mg Tl Cl
1 2 1
Cartesian
0.000 0.000 0.000
1.674 2.428 4.654
1.940 2.428 1.562
-0.046 0.000 3.108

=====

[7]
AcMnTlSe3, optimized geometry, DFT PBE; raw total energy = -5.41 eV/atom
1.0
9.391 0.000 0.000
0.000 4.475 0.000
-1.780 0.000 9.665
Ac Mn Tl Se
2 2 2 6
Cartesian
1.196 1.119 1.560
6.415 3.357 8.105
3.214 3.357 3.857
4.398 1.119 5.808
1.588 3.357 7.725
6.023 1.119 1.940
-0.837 1.119 8.141
2.091 1.119 4.648
3.362 3.357 1.374
4.249 1.119 8.291
5.520 3.357 5.017
8.448 3.357 1.524

=====

[8]
CaDyAs, optimized geometry, DFT PBE; formation energy from the elements = -961 meV/atom; raw total energy = -4.71 eV/atom
1.0
4.072 0.000 0.000
0.000 4.072 0.000
0.000 0.000 11.437
Ca Dy As
2 2 2
Cartesian
1.018 1.018 1.355
3.054 3.054 10.082
1.018 1.018 7.103
3.054 3.054 4.335
1.018 1.018 4.226
3.054 3.054 7.212